Compound: PPbW
Source: the Alexandria database
Functional: PBE-GGA
Structure: optimized geometry

POSCAR file:
```
PPbW
1.0
3.245 0.000 0.000
-1.622 2.810 0.000
0.000 0.000 6.600
P Pb W
1 1 1
Direct
0.000 0.000 0.000
0.333 0.667 0.400
0.667 0.333 0.771
```

Computed properties:
**Energy above the lowest structure with this stoichiometry**: 0.0 meV/atom
**VASP energy**: -7.106 eV/atom
**Spin magnetization**: 0.00 μB per formula unit